--- a ---
The following is a PBE calculation of a relaxed structure of Tb3Ho4Er2, from the Alexandria database.

CIF file:
```
data_Tb3Ho4Er2
_chemical_formula_sum 'Tb12 Ho16 Er8'
_cell_length_a 16.166
_cell_length_b 11.460
_cell_length_c 6.052
_cell_angle_alpha 90.00
_cell_angle_beta 96.15
_cell_angle_gamma 90.00
_space_group_name_H-M_alt 'C 1 2/c 1'
_space_group_IT_number 15
loop_
_space_group_symop_operation_xyz
'x,y,z'
'-x,-y,-z'
'-x,y,-z+1/2'
'x,-y,z+1/2'
'x+1/2,y+1/2,z'
'-x+1/2,-y+1/2,-z'
'-x+1/2,y+1/2,-z+1/2'
'x+1/2,-y+1/2,z+1/2'
loop_
_atom_site_label
_atom_site_type_symbol
_atom_site_fract_x
_atom_site_fract_y
_atom_site_fract_z
Tb1 Tb 0.000 0.097 0.250
Tb2 Tb 0.167 0.403 0.082
Ho1 Ho 0.046 0.359 0.514
Ho2 Ho 0.213 0.141 0.347
Er1 Er 0.120 0.140 0.819
```

--- b ---
The following is a PBE calculation of a relaxed structure of Tb3Ho4Er2, from the Alexandria database.

CIF file:
```
data_Tb3Ho4Er2
_chemical_formula_sum 'Tb6 Ho8 Er4'
_cell_length_a 14.963
_cell_length_b 4.979
_cell_length_c 7.878
_cell_angle_alpha 90.00
_cell_angle_beta 108.24
_cell_angle_gamma 90.00
_space_group_name_H-M_alt 'C 1 2/m 1'
_space_group_IT_number 12
loop_
_space_group_symop_operation_xyz
'x,y,z'
'-x,-y,-z'
'-x,y,-z'
'x,-y,z'
'x+1/2,y+1/2,z'
'-x+1/2,-y+1/2,-z'
'-x+1/2,y+1/2,-z'
'x+1/2,-y+1/2,z'
loop_
_atom_site_label
_atom_site_type_symbol
_atom_site_fract_x
_atom_site_fract_y
_atom_site_fract_z
Tb1 Tb 0.000 0.000 0.000
Tb2 Tb 0.111 0.000 0.666
Ho1 Ho 0.167 0.500 0.000
Ho2 Ho 0.222 0.000 0.333
Er1 Er 0.056 0.500 0.333
```

Sorted by energy, starting with the most stable: b, a.

--- a ---
The following is a PBE calculation of a relaxed structure of Tb5HoEr6, from the Alexandria database.

CIF file:
```
data_Tb5HoEr6
_chemical_formula_sum 'Tb10 Ho2 Er12'
_cell_length_a 5.729
_cell_length_b 7.379
_cell_length_c 17.736
_cell_angle_alpha 90.00
_cell_angle_beta 90.00
_cell_angle_gamma 90.00
_space_group_name_H-M_alt 'I m m m'
_space_group_IT_number 71
_space_group_name_Hall '-I 2 2'
loop_
_atom_site_label
_atom_site_type_symbol
_atom_site_fract_x
_atom_site_fract_y
_atom_site_fract_z
Tb1 Tb 0.000 0.000 0.000
Tb2 Tb 0.000 0.000 0.348
Tb3 Tb 0.000 0.500 0.347
Ho1 Ho 0.000 0.500 0.000
Er1 Er 0.000 0.250 0.180
Er2 Er 0.000 0.251 0.500
```

--- b ---
The following is a PBE calculation of a relaxed structure of Tb5HoEr6, from the Alexandria database.

CIF file:
```
data_Tb5HoEr6
_chemical_formula_sum 'Tb10 Ho2 Er12'
_cell_length_a 6.105
_cell_length_b 10.562
_cell_length_c 11.657
_cell_angle_alpha 90.00
_cell_angle_beta 100.00
_cell_angle_gamma 90.00
_space_group_name_H-M_alt 'C 1 2/m 1'
_space_group_IT_number 12
loop_
_space_group_symop_operation_xyz
'x,y,z'
'-x,-y,-z'
'-x,y,-z'
'x,-y,z'
'x+1/2,y+1/2,z'
'-x+1/2,-y+1/2,-z'
'-x+1/2,y+1/2,-z'
'x+1/2,-y+1/2,z'
loop_
_atom_site_label
_atom_site_type_symbol
_atom_site_fract_x
_atom_site_fract_y
_atom_site_fract_z
Tb1 Tb 0.000 0.000 0.000
Tb2 Tb 0.000 0.167 0.500
Tb3 Tb 0.000 0.333 0.000
Ho1 Ho 0.000 0.500 0.500
Er1 Er 0.250 0.000 0.750
Er2 Er 0.250 0.167 0.250
```

Sorted by energy, starting with the most stable: b, a.

--- a ---
The following is a PBE calculation of a relaxed structure of Tb2Ho7Er3, from the Alexandria database.

CIF file:
```
data_Tb2Ho7Er3
_chemical_formula_sum 'Tb4 Ho14 Er6'
_cell_length_a 5.632
_cell_length_b 37.254
_cell_length_c 3.564
_cell_angle_alpha 90.00
_cell_angle_beta 90.00
_cell_angle_gamma 90.00
_space_group_name_H-M_alt 'C m m m'
_space_group_IT_number 65
_space_group_name_Hall '-C 2 2'
loop_
_atom_site_label
_atom_site_type_symbol
_atom_site_fract_x
_atom_site_fract_y
_atom_site_fract_z
Tb1 Tb 0.000 0.148 0.000
Ho1 Ho 0.000 0.000 0.000
Ho2 Ho 0.000 0.072 0.500
Ho3 Ho 0.000 0.231 0.000
Ho4 Ho 0.000 0.409 0.000
Er1 Er 0.000 0.315 0.500
Er2 Er 0.000 0.500 0.500
```

--- b ---
The following is a PBE calculation of a relaxed structure of Tb2Ho7Er3, from the Alexandria database.

CIF file:
```
data_Tb2Ho7Er3
_chemical_formula_sum 'Tb2 Ho7 Er3'
_cell_length_a 6.261
_cell_length_b 3.481
_cell_length_c 17.226
_cell_angle_alpha 90.00
_cell_angle_beta 96.18
_cell_angle_gamma 90.00
_space_group_name_H-M_alt 'P 1 2/m 1'
_space_group_IT_number 10
loop_
_space_group_symop_operation_xyz
'x,y,z'
'-x,-y,-z'
'-x,y,-z'
'x,-y,z'
loop_
_atom_site_label
_atom_site_type_symbol
_atom_site_fract_x
_atom_site_fract_y
_atom_site_fract_z
Tb1 Tb 0.061 0.000 0.173
Ho1 Ho 0.000 0.500 0.500
Ho2 Ho 0.226 0.000 0.668
Ho3 Ho 0.255 0.000 0.998
Ho4 Ho 0.274 0.500 0.335
Er1 Er 0.450 0.500 0.842
Er2 Er 0.500 0.000 0.500
```

Sorted by energy, starting with the most stable: b, a.

--- a ---
The following is a PBE calculation of a relaxed structure of Tb8HoEr2, from the Alexandria database.

CIF file:
```
data_Tb8HoEr2
_chemical_formula_sum 'Tb16 Ho2 Er4'
_cell_length_a 16.442
_cell_length_b 6.621
_cell_length_c 6.602
_cell_angle_alpha 90.00
_cell_angle_beta 100.32
_cell_angle_gamma 90.00
_space_group_name_H-M_alt 'C 1 2/m 1'
_space_group_IT_number 12
loop_
_space_group_symop_operation_xyz
'x,y,z'
'-x,-y,-z'
'-x,y,-z'
'x,-y,z'
'x+1/2,y+1/2,z'
'-x+1/2,-y+1/2,-z'
'-x+1/2,y+1/2,-z'
'x+1/2,-y+1/2,z'
loop_
_atom_site_label
_atom_site_type_symbol
_atom_site_fract_x
_atom_site_fract_y
_atom_site_fract_z
Tb1 Tb 0.088 0.238 0.404
Tb2 Tb 0.091 0.000 0.908
Tb3 Tb 0.244 0.500 0.314
Ho1 Ho 0.000 0.500 0.000
Er1 Er 0.201 0.500 0.802
```

--- b ---
The following is a PBE calculation of a relaxed structure of Tb8HoEr2, from the Alexandria database.

CIF file:
```
data_Tb8HoEr2
_chemical_formula_sum 'Tb16 Ho2 Er4'
_cell_length_a 17.277
_cell_length_b 6.669
_cell_length_c 6.372
_cell_angle_alpha 90.00
_cell_angle_beta 103.04
_cell_angle_gamma 90.00
_space_group_name_H-M_alt 'C 1 2/m 1'
_space_group_IT_number 12
loop_
_space_group_symop_operation_xyz
'x,y,z'
'-x,-y,-z'
'-x,y,-z'
'x,-y,z'
'x+1/2,y+1/2,z'
'-x+1/2,-y+1/2,-z'
'-x+1/2,y+1/2,-z'
'x+1/2,-y+1/2,z'
loop_
_atom_site_label
_atom_site_type_symbol
_atom_site_fract_x
_atom_site_fract_y
_atom_site_fract_z
Tb1 Tb 0.086 0.000 0.425
Tb2 Tb 0.095 0.247 0.962
Tb3 Tb 0.210 0.500 0.666
Ho1 Ho 0.000 0.500 0.500
Er1 Er 0.243 0.000 0.808
```

Sorted by energy, starting with the most stable: a, b.

--- a ---
The following is a PBE calculation of a relaxed structure of Tb2Ho7Er2, from the Alexandria database.

CIF file:
```
data_Tb2Ho7Er2
_chemical_formula_sum 'Tb4 Ho14 Er4'
_cell_length_a 11.050
_cell_length_b 11.407
_cell_length_c 5.988
_cell_angle_alpha 90.00
_cell_angle_beta 113.23
_cell_angle_gamma 90.00
_space_group_name_H-M_alt 'C 1 2/m 1'
_space_group_IT_number 12
loop_
_space_group_symop_operation_xyz
'x,y,z'
'-x,-y,-z'
'-x,y,-z'
'x,-y,z'
'x+1/2,y+1/2,z'
'-x+1/2,-y+1/2,-z'
'-x+1/2,y+1/2,-z'
'x+1/2,-y+1/2,z'
loop_
_atom_site_label
_atom_site_type_symbol
_atom_site_fract_x
_atom_site_fract_y
_atom_site_fract_z
Tb1 Tb 0.000 0.216 0.000
Ho1 Ho 0.000 0.000 0.500
Ho2 Ho 0.174 0.236 0.675
Ho3 Ho 0.232 0.000 0.084
Er1 Er 0.090 0.500 0.304
```

--- b ---
The following is a PBE calculation of a relaxed structure of Tb2Ho7Er2, from the Alexandria database.

CIF file:
```
data_Tb2Ho7Er2
_chemical_formula_sum 'Tb4 Ho14 Er4'
_cell_length_a 8.849
_cell_length_b 9.337
_cell_length_c 8.573
_cell_angle_alpha 90.00
_cell_angle_beta 101.24
_cell_angle_gamma 90.00
_space_group_name_H-M_alt 'C 1 2/m 1'
_space_group_IT_number 12
loop_
_space_group_symop_operation_xyz
'x,y,z'
'-x,-y,-z'
'-x,y,-z'
'x,-y,z'
'x+1/2,y+1/2,z'
'-x+1/2,-y+1/2,-z'
'-x+1/2,y+1/2,-z'
'x+1/2,-y+1/2,z'
loop_
_atom_site_label
_atom_site_type_symbol
_atom_site_fract_x
_atom_site_fract_y
_atom_site_fract_z
Tb1 Tb 0.000 0.177 0.000
Ho1 Ho 0.000 0.500 0.500
Ho2 Ho 0.151 0.500 0.908
Ho3 Ho 0.236 0.183 0.708
Er1 Er 0.105 0.000 0.356
```

Sorted by energy, starting with the most stable: b, a.